K2PmVF6 | GGA+U | optimized geometry

abc: 5.936 8.813 6.784
angles: 90.00 90.00 90.00
Space group Pmmn (No. 59, origin choice 2)
One atom of each set of equivalent atoms:
1 K 0.250 0.026 0.198
2 Pm 0.250 0.250 0.711
3 V 0.250 0.750 0.775
4 F 0.009 0.250 0.001
5 F 0.025 0.250 0.426
6 F 0.250 0.505 0.778

The value obtained for the final energy is -5.47 eV per atom. The value obtained for the total magnetization is 6.98 μB per cell. For the volume, the calculation gives 17.74 A^3/atom. The crystal system is orthorhombic.